No. 1
# KYP2, relaxed, DFT PBE
# **Total magnetic moment**: 0.00 Bohr magnetons per cell
# **Calculated volume**: 25.00 Å³/atom
# **Polymorph energy (0 for the lowest one)**: 0 meV per atom
data_KYP2
_symmetry_space_group_name_H-M 'P 1 2/m 1'
_symmetry_Int_Tables_number 10
_cell_length_a 3.818
_cell_length_b 3.797
_cell_length_c 6.896
_cell_angle_alpha 90.00
_cell_angle_beta 90.09
_cell_angle_gamma 90.00
loop_
_symmetry_equiv_pos_as_xyz
'x,y,z'
'-x,-y,-z'
'-x,y,-z'
'x,-y,z'
loop_
_atom_site_label
_atom_site_fract_x
_atom_site_fract_y
_atom_site_fract_z
K1 0.000 0.000 0.000
Y1 0.000 0.000 0.500
P1 0.499 0.500 0.335

---

No. 2
# Al2NiRu2, relaxed, DFT PBE
# **Total magnetic moment**: 1.06 Bohr magnetons per cell
# **Calculated volume**: 14.30 Å³/atom
# **Polymorph energy (0 for the lowest one)**: 56 meV per atom
data_Al2NiRu2
_symmetry_space_group_name_H-M 'P 4/m b m'
_symmetry_Int_Tables_number 127
_symmetry_space_group_name_Hall '-P 4 2ab'
_cell_length_a 6.649
_cell_length_b 6.649
_cell_length_c 3.234
_cell_angle_alpha 90.00
_cell_angle_beta 90.00
_cell_angle_gamma 90.00
loop_
_atom_site_label
_atom_site_fract_x
_atom_site_fract_y
_atom_site_fract_z
Al1 0.161 0.339 0.000
Ni1 0.000 0.000 0.500
Ru1 0.141 0.641 0.500

---

No. 3
# Sc2CdW, relaxed, DFT PBE
# **Total magnetic moment**: 0.01 Bohr magnetons per cell
# **Calculated volume**: 19.76 Å³/atom
# **Uncorrected energy**: -6.242 eV/atom
data_Sc2CdW
_symmetry_space_group_name_H-M 'F -4 3 m'
_symmetry_Int_Tables_number 216
_symmetry_space_group_name_Hall 'F -4 2 3'
_cell_length_a 6.812
_cell_length_b 6.812
_cell_length_c 6.812
_cell_angle_alpha 90.00
_cell_angle_beta 90.00
_cell_angle_gamma 90.00
loop_
_atom_site_label
_atom_site_fract_x
_atom_site_fract_y
_atom_site_fract_z
Sc1 0.000 0.000 0.000
Sc2 0.250 0.250 0.250
Cd1 0.000 0.000 0.500
W1 0.250 0.250 0.750

---

No. 4
# Pm2Pd5Au5, relaxed, DFT PBE
# **Total magnetic moment**: 0.00 Bohr magnetons per cell
# **Calculated volume**: 19.81 Å³/atom
# **Polymorph energy (0 for the lowest one)**: 0 meV per atom
data_Pm2Pd5Au5
_symmetry_space_group_name_H-M 'P m m m'
_symmetry_Int_Tables_number 47
_cell_length_a 4.615
_cell_length_b 5.456
_cell_length_c 9.440
_cell_angle_alpha 90.00
_cell_angle_beta 90.00
_cell_angle_gamma 90.00
loop_
_symmetry_equiv_pos_as_xyz
'x,y,z'
'-x,-y,-z'
'-x,-y,z'
'x,y,-z'
'x,-y,-z'
'-x,y,z'
'-x,y,-z'
'x,-y,z'
loop_
_atom_site_label
_atom_site_fract_x
_atom_site_fract_y
_atom_site_fract_z
Pm1 0.000 0.000 0.000
Pm2 0.000 0.500 0.500
Pd1 0.000 0.000 0.334
Pd2 0.000 0.500 0.163
Pd3 0.500 0.500 0.000
Au1 0.500 0.000 0.500
Au2 0.500 0.250 0.247

---

No. 5
# Tl3GeB, relaxed, DFT PBE
# **Total magnetic moment**: 0.00 Bohr magnetons per cell
# **Calculated volume**: 24.73 Å³/atom
# **Polymorph energy (0 for the lowest one)**: 0 meV per atom
data_Tl3GeB
_symmetry_space_group_name_H-M 'P m -3 m'
_symmetry_Int_Tables_number 221
_symmetry_space_group_name_Hall '-P 4 2 3'
_cell_length_a 4.982
_cell_length_b 4.982
_cell_length_c 4.982
_cell_angle_alpha 90.00
_cell_angle_beta 90.00
_cell_angle_gamma 90.00
loop_
_atom_site_label
_atom_site_fract_x
_atom_site_fract_y
_atom_site_fract_z
Tl1 0.000 0.000 0.500
Ge1 0.500 0.500 0.500
B1 0.000 0.000 0.000

---

No. 6
# LaZn9In2, relaxed, DFT PBE
# **Total magnetic moment**: 0.00 Bohr magnetons per cell
# **Calculated volume**: 18.50 Å³/atom
# **Uncorrected energy**: -1.950 eV/atom
data_LaZn9In2
_symmetry_space_group_name_H-M 'R -3 m'
_symmetry_Int_Tables_number 166
_symmetry_space_group_name_Hall '-R 3 2"'
_cell_length_a 5.5046
_cell_length_b 5.5046
_cell_length_c 25.3786
_cell_angle_alpha 90.00
_cell_angle_beta 90.00
_cell_angle_gamma 120.00
loop_
_atom_site_label
_atom_site_fract_x
_atom_site_fract_y
_atom_site_fract_z
La1 0.0000 0.0000 0.0000
Zn1 0.0000 0.0000 0.3319
Zn2 0.0000 0.0000 0.5000
Zn3 0.0019 0.5010 0.9158
In1 0.0000 0.0000 0.1389

---

No. 7
# Cd2In2HgPb, relaxed, DFT PBE
# **Total magnetic moment**: 0.00 Bohr magnetons per cell
# **Calculated volume**: 33.28 Å³/atom
# **Uncorrected energy**: -1.599 eV/atom
data_Cd2In2HgPb
_symmetry_space_group_name_H-M 'I 4/m m m'
_symmetry_Int_Tables_number 139
_symmetry_space_group_name_Hall '-I 4 2'
_cell_length_a 5.894
_cell_length_b 5.894
_cell_length_c 11.495
_cell_angle_alpha 90.00
_cell_angle_beta 90.00
_cell_angle_gamma 90.00
loop_
_atom_site_label
_atom_site_fract_x
_atom_site_fract_y
_atom_site_fract_z
Cd1 0.000 0.000 0.243
In1 0.000 0.500 0.250
Hg1 0.000 0.000 0.000
Pb1 0.000 0.000 0.500

---

No. 8
# BiPdSe2Br, relaxed, DFT PBE
# **Raw formation energy**: 77 meV/atom
# **Total magnetic moment**: 0.00 Bohr magnetons per cell
# **Calculated volume**: 25.23 Å³/atom
# **Polymorph energy (0 for the lowest one)**: 0 meV per atom
data_BiPdSe2Br
_symmetry_space_group_name_H-M 'P 4/m m m'
_symmetry_Int_Tables_number 123
_symmetry_space_group_name_Hall '-P 4 2'
_cell_length_a 5.030
_cell_length_b 5.030
_cell_length_c 4.986
_cell_angle_alpha 90.00
_cell_angle_beta 90.00
_cell_angle_gamma 90.00
loop_
_atom_site_label
_atom_site_fract_x
_atom_site_fract_y
_atom_site_fract_z
Bi1 0.000 0.000 0.000
Pd1 0.500 0.500 0.500
Se1 0.000 0.500 0.500
Br1 0.500 0.500 0.000